First-principles (GGA-PBE) data for crystalline PrErBi2 at its relaxed geometry, as listed in Alexandria via LeMat-Bulk.

Geometry as extended XYZ:
```
4
Lattice="-4.072 -1.516 -1.227 -0.398 -4.020 -2.016 -2.311 -5.222 5.813" Properties=species:S:1:pos:R:3 pbc="T T T"
Er -3.395 -5.399 1.326
Pr -5.286 -8.892 3.607
Bi -2.100 -4.354 4.040
Bi -1.701 -2.715 0.694
```

Values from the calculation:
Symmetry: R3m (160)
Raw total energy, eV/f.u.: -20.17
DFT formation energy, eV per atom: -0.766
Energy relative to the lowest polymorph listed for this composition, eV/f.u.: 0.46